[1]
8
Lattice="7.523 0.000 0.000 0.000 7.523 0.000 3.761 3.761 2.486" Properties=species:S:1:pos:R:3 comment="LiBe2Te, relaxed, DFT PBE-GGA" spacegroup="I-42d (122)" pbc="T T T"
Be 5.963 1.881 0.621
Be 1.560 5.642 0.621
Be 5.642 5.321 1.864
Be 9.404 9.725 1.864
Te 0.000 0.000 0.000
Te 7.523 3.761 1.243
Li 3.761 3.761 0.000
Li 3.761 7.523 1.243

[2]
5
Lattice="5.097 0.000 0.000 0.000 5.097 0.000 0.000 0.000 5.097" Properties=species:S:1:pos:R:3 comment="LiBeTe3, relaxed, DFT PBE-GGA" relative_energy_ev_per_atom=0.000 spacegroup="Pm-3m (221)" pbc="T T T"
Be 0.000 0.000 0.000
Te 0.000 2.549 0.000
Te 0.000 0.000 2.549
Te 2.549 0.000 0.000
Li 2.549 2.549 2.549

[3]
4
Lattice="3.530 0.636 0.000 -0.662 3.525 0.000 0.000 0.000 4.868" Properties=species:S:1:pos:R:3 comment="LiBe2Te, relaxed, DFT PBE-GGA" spacegroup="Cmmm (65)" pbc="T T T"
Be 0.000 0.000 0.025
Be 0.000 0.000 2.409
Li 1.434 2.081 1.217
Te 1.434 2.081 3.651

[4]
4
Lattice="6.592 -0.077 -0.047 5.472 3.676 -0.047 5.472 1.633 3.294" Properties=species:S:1:pos:R:3 comment="Li2BeTe, relaxed, DFT PBE-GGA" relative_energy_ev_per_atom=0.114 spacegroup="R3m (160)" pbc="T T T"
Be 12.983 3.873 2.369
Li 0.477 0.142 0.087
Li 4.714 1.406 0.860
Te 8.130 2.426 1.484

[5]
4
Lattice="3.841 0.000 0.000 0.000 4.026 0.217 0.000 1.899 5.116" Properties=species:S:1:pos:R:3 comment="Li2BeTe, relaxed, DFT PBE-GGA" relative_energy_ev_per_atom=0.000 spacegroup="Pm (6)" pbc="T T T"
Be 1.920 3.698 4.116
Li 0.000 5.636 4.912
Li 1.920 1.756 1.661
Te 0.000 3.722 2.646

[6]
8
Lattice="3.895 0.000 0.000 0.000 3.895 0.000 1.947 1.947 9.347" Properties=species:S:1:pos:R:3 comment="Li2BeTe, relaxed, DFT PBE-GGA" relative_energy_ev_per_atom=0.238 spacegroup="I-42d (122)" pbc="T T T"
Be 1.947 1.947 0.000
Be 1.947 3.895 4.674
Te 0.000 0.000 0.000
Te 3.895 1.947 4.674
Li 2.875 0.974 2.337
Li 1.020 2.921 2.337
Li 2.921 2.968 7.011
Li 4.869 4.822 7.011

[7]
4
Lattice="-3.627 0.687 -2.943 -4.332 -1.428 1.218 -3.325 3.181 1.054" Properties=species:S:1:pos:R:3 comment="Li2BeTe, relaxed, DFT PBE-GGA" relative_energy_ev_per_atom=0.304 spacegroup="F-43m (216)" pbc="T T T"
Be -5.642 1.220 -0.336
Li 0.000 0.000 0.000
Li -2.821 0.610 -0.168
Te -8.463 1.830 -0.504

[8]
5
Lattice="-0.077 4.040 -2.641 -2.735 -2.213 -3.305 -3.976 1.443 2.325" Properties=species:S:1:pos:R:3 comment="LiBe3Te, relaxed, DFT PBE-GGA" relative_energy_ev_per_atom=0.188 spacegroup="Pm-3m (221)" pbc="T T T"
Be -1.368 -1.106 -1.652
Be -1.988 0.722 1.162
Be -0.039 2.020 -1.320
Te 0.000 0.000 0.000
Li -3.394 1.635 -1.810

Looking at E_form (uncorrected) for the records above, in order, we have 0.40, 0.11, 0.30, -0.09, -0.21, 0.03, 0.10, 1.24 eV per atom.
Looking at total energy for the records above, in order, we have -2.72, -2.90, -2.82, -2.77, -2.88, -2.64, -2.58, -2.00 eV/atom.